Entry from Alexandria: an optimized crystal structure of Pu2WN5 (PBE-GGA).

Calculated values
Volume   423.6 Å³/cell
Total energy   -0.8259 Ry/atom
Space group   Pnma, No. 62

Cell: 3.7030 7.4046 15.4494 Å, 90.00 90.00 90.00°
With the nearest neighbours (Å) after each atom.
Fractional positions:
Pu  0.7500  0.9032  0.7373  6 N 2.13-2.34
N  0.2500  0.8578  0.1794  2 Pu 2.13-2.19
N  0.7500  0.6627  0.3248  1 W 1.86
W  0.7500  0.8302  0.4149  5 N 1.86-2.04
N  0.2500  0.9315  0.6492  1 W 2.02
N  0.7500  0.1258  0.9962  1 W 2.04, 2 Pu 2.20
N  0.7500  0.1627  0.1752  1 W 1.86
Pu  0.7500  0.4032  0.7627  6 N 2.13-2.34
N  0.2500  0.3578  0.3206  2 Pu 2.13-2.19
N  0.2500  0.3742  0.4962  1 W 2.04, 2 Pu 2.20
N  0.2500  0.8742  0.0038  1 W 2.04, 2 Pu 2.20
N  0.7500  0.6422  0.6794  2 Pu 2.13-2.19
N  0.2500  0.8664  0.4519  2 W 1.96
Pu  0.2500  0.1360  0.9198  6 N 2.20-2.43
N  0.2500  0.3373  0.6752  1 W 1.86
Pu  0.2500  0.0968  0.2627  6 N 2.13-2.34
N  0.7500  0.1422  0.8206  2 Pu 2.13-2.19
N  0.2500  0.8373  0.8248  1 W 1.86
W  0.2500  0.1698  0.5851  5 N 1.86-2.04
Pu  0.2500  0.5968  0.2373  6 N 2.13-2.34
W  0.7500  0.3302  0.0851  5 N 1.86-2.04
N  0.2500  0.3664  0.0481  2 W 1.96
Pu  0.7500  0.3640  0.4198  6 N 2.20-2.43
N  0.7500  0.6336  0.9519  2 W 1.96
N  0.7500  0.6258  0.5038  1 W 2.04, 2 Pu 2.20
N  0.2500  0.4315  0.8508  1 W 2.02
Pu  0.2500  0.6360  0.5802  6 N 2.20-2.43
N  0.7500  0.1336  0.5481  2 W 1.96
N  0.7500  0.5685  0.1492  1 W 2.02
W  0.2500  0.6698  0.9149  5 N 1.86-2.04
Pu  0.7500  0.8640  0.0802  6 N 2.20-2.43
N  0.7500  0.0685  0.3508  1 W 2.02